Entry 1:
4
Lattice="5.745 -0.010 0.017 4.705 3.297 0.017 1.908 0.600 4.253" Properties=species:S:1:pos:R:3 comment="Zr2CdTc (GGA-PBE, optimized geometry)" delta_e_f_ev_per_atom=-0.045 sg="No. 8" pbc="T T T"
Cd 5.999 1.887 2.234
Tc 9.175 2.886 3.258
Zr 2.148 0.676 4.136
Zr 3.123 0.982 1.055


Entry 2:
4
Lattice="3.172 0.000 0.000 0.000 3.171 0.000 0.000 0.000 7.099" Properties=species:S:1:pos:R:3 comment="MgTlCu2 (GGA-PBE, optimized geometry)" delta_e_f_ev_per_atom=0.077 sg="No. 99" pbc="T T T"
Cu 0.000 0.000 0.395
Cu 1.586 1.586 1.545
Mg 0.000 0.000 3.142
Tl 1.586 1.586 5.566


Entry 3:
5
Lattice="-3.404 -0.685 -2.291 -1.462 -2.556 2.938 -1.892 3.209 1.851" Properties=species:S:1:pos:R:3 comment="SrCr3N (GGA-PBE, optimized geometry)" e_above_lowest_polymorph_ev_per_fu=0.00 sg="No. 221" pbc="T T T"
Sr -3.379 -0.016 1.249
N 0.000 0.000 0.000
Cr -0.731 -1.278 1.469
Cr -0.946 1.605 0.926
Cr -1.702 -0.343 -1.145


Entry 4:
8
Lattice="4.040 0.000 0.000 0.000 7.045 0.132 0.000 -2.453 6.781" Properties=species:S:1:pos:R:3 comment="TbPm2ScSe4 (GGA-PBE, optimized geometry)" energy_ev_per_atom=-6.046 sg="No. 10" pbc="T T T"
Tb 2.020 3.523 0.066
Pm 2.020 -1.227 3.391
Pm 0.000 2.296 3.457
Sc 0.000 0.000 0.000
Se 2.020 1.094 1.585
Se 2.020 3.498 5.328
Se 0.000 -0.135 5.221
Se 0.000 4.727 1.692


- What is the formula in the third record?
  SrCr3N